## a
The following is a DFT calculation (PBE-GGA) of an optimized crystal structure of MgPaPt6.

Cell: 4.7313 5.7655 5.7655 Å, 60.08 90.00 90.00°
Fractional coordinates of all 8 atoms:
1 Mg 0.0000 0.0000 0.0000
2 Pa 0.5000 0.6668 0.6668
3 Pt 0.0000 0.0081 0.4966
4 Pt 0.0000 0.4966 0.0081
5 Pt 0.0000 0.4979 0.4979
6 Pt 0.5000 0.1683 0.6633
7 Pt 0.5000 0.1686 0.1686
8 Pt 0.5000 0.6633 0.1683

size of the total moment = 0.00 μB/cell


## b
The following is a DFT calculation (PBE-GGA) of an optimized crystal structure of MgPaPt6.

Cell: 4.1106 4.1106 8.0071 Å, 90.00 90.00 90.00°
Fractional coordinates of all 8 atoms:
1 Mg 0.0000 0.0000 0.0000
2 Pa 0.0000 0.0000 0.5000
3 Pt 0.0000 0.5000 0.2449
4 Pt 0.0000 0.5000 0.7551
5 Pt 0.5000 0.0000 0.2449
6 Pt 0.5000 0.0000 0.7551
7 Pt 0.5000 0.5000 0.0000
8 Pt 0.5000 0.5000 0.5000

size of the total moment = 0.00 μB/cell


Which of them is the most stable, and which is the least stable? b and a, in that order.


## a
The following is a DFT calculation (PBE-GGA) of an optimized crystal structure of PuMgPa.

Cell: 3.1654 3.1654 8.5687 Å, 90.00 90.00 120.00°
Fractional coordinates of all 3 atoms:
1 Pu 0.0000 0.0000 0.0000
2 Mg 0.3333 0.6667 0.6655
3 Pa 0.6667 0.3333 0.3288

size of the total moment = 5.44 μB/cell


## b
The following is a DFT calculation (PBE-GGA) of an optimized crystal structure of PuMgPa.

Cell: 7.9847 7.9847 7.9847 Å, 157.87 157.87 31.50°
Fractional coordinates of all 3 atoms:
1 Pu 0.0000 0.0000 0.0000
2 Mg 0.3299 0.3299 0.0000
3 Pa 0.6594 0.6594 0.0000

size of the total moment = 5.20 μB/cell


Which of them is the most stable, and which is the least stable? b and a, in that order.


## a
The following is a DFT calculation (PBE-GGA) of an optimized crystal structure of MgPaRh3.

Cell: 7.2717 7.2717 5.5589 Å, 90.00 90.00 143.33°
Fractional coordinates of all 10 atoms:
1 Mg 0.0735 0.9265 0.7500
2 Mg 0.9265 0.0735 0.2500
3 Pa 0.3087 0.6913 0.7500
4 Pa 0.6913 0.3087 0.2500
5 Rh 0.1110 0.8890 0.2500
6 Rh 0.3153 0.6847 0.2500
7 Rh 0.5000 0.5000 0.0000
8 Rh 0.5000 0.5000 0.5000
9 Rh 0.6847 0.3153 0.7500
10 Rh 0.8890 0.1110 0.7500

size of the total moment = 0.00 μB/cell


## b
The following is a DFT calculation (PBE-GGA) of an optimized crystal structure of MgPaRh3.

Cell: 7.9108 7.9108 4.1682 Å, 90.00 90.00 131.73°
Fractional coordinates of all 10 atoms:
1 Mg 0.1034 0.8966 0.0000
2 Mg 0.8966 0.1034 0.0000
3 Pa 0.3702 0.6298 0.5000
4 Pa 0.6298 0.3702 0.5000
5 Rh 0.0000 0.5000 0.0000
6 Rh 0.2046 0.7954 0.5000
7 Rh 0.3077 0.3077 0.0000
8 Rh 0.5000 0.0000 0.0000
9 Rh 0.6923 0.6923 0.0000
10 Rh 0.7954 0.2046 0.5000

size of the total moment = 0.00 μB/cell


Which of them is the most stable, and which is the least stable? a and b, in that order.


## a
The following is a DFT calculation (PBE-GGA) of an optimized crystal structure of MgPaRu.

Cell: 5.7589 5.7589 5.0943 Å, 102.90 102.90 51.37°
Fractional coordinates of all 6 atoms:
1 Mg 0.0771 0.0771 0.2961
2 Mg 0.9229 0.9229 0.7039
3 Pa 0.3671 0.3671 0.1922
4 Pa 0.6329 0.6329 0.8078
5 Ru 0.3158 0.3158 0.7015
6 Ru 0.6842 0.6842 0.2985

size of the total moment = 0.00 μB/cell


## b
The following is a DFT calculation (PBE-GGA) of an optimized crystal structure of MgPaRu.

Cell: 6.2620 6.2620 6.2620 Å, 138.25 130.04 67.08°
Fractional coordinates of all 6 atoms:
1 Mg 0.2417 0.0000 0.2417
2 Mg 0.7583 0.0000 0.7583
3 Pa 0.3061 0.3061 0.0000
4 Pa 0.6939 0.6939 0.0000
5 Ru 0.1371 0.6371 0.5000
6 Ru 0.8629 0.3629 0.5000

size of the total moment = 0.00 μB/cell


Which of them is the most stable, and which is the least stable? b and a, in that order.


## a
The following is a DFT calculation (PBE-GGA) of an optimized crystal structure of MgPa2Sb.

Cell: 12.1111 12.1111 12.1111 Å, 15.12 15.12 15.12°
Fractional coordinates of all 4 atoms:
1 Mg 0.0000 0.0000 0.0000
2 Pa 0.0909 0.0909 0.0909
3 Pa 0.9091 0.9091 0.9091
4 Sb 0.5000 0.5000 0.5000

size of the total moment = 0.00 μB/cell


## b
The following is a DFT calculation (PBE-GGA) of an optimized crystal structure of MgPa2Sb.

Cell: 4.3765 4.3765 5.0130 Å, 90.00 90.00 90.00°
Fractional coordinates of all 4 atoms:
1 Mg 0.0000 0.0000 0.0000
2 Pa 0.0000 0.5000 0.5000
3 Pa 0.5000 0.0000 0.5000
4 Sb 0.5000 0.5000 0.0000

size of the total moment = 1.75 μB/cell


Which of them is the most stable, and which is the least stable? b and a, in that order.


## a
The following is a DFT calculation (PBE-GGA) of an optimized crystal structure of Mg2ScPa.

Cell: 11.9822 11.9822 11.9822 Å, 14.89 14.89 14.89°
Fractional coordinates of all 4 atoms:
1 Mg 0.0909 0.0909 0.0909
2 Mg 0.9091 0.9091 0.9091
3 Sc 0.5000 0.5000 0.5000
4 Pa 0.0000 0.0000 0.0000

size of the total moment = 0.72 μB/cell


## b
The following is a DFT calculation (PBE-GGA) of an optimized crystal structure of Mg2ScPa.

Cell: 3.1153 3.1153 9.6854 Å, 90.00 90.00 90.00°
Fractional coordinates of all 4 atoms:
1 Mg 0.0000 0.0000 0.2399
2 Mg 0.0000 0.0000 0.7601
3 Sc 0.5000 0.5000 0.0000
4 Pa 0.5000 0.5000 0.5000

size of the total moment = 0.75 μB/cell


Which of them is the most stable, and which is the least stable? b and a, in that order.


## a
The following is a DFT calculation (PBE-GGA) of an optimized crystal structure of MgPaSe3.

Cell: 4.1774 5.4904 13.1395 Å, 95.91 90.18 112.34°
Fractional coordinates of all 10 atoms:
1 Mg 0.0000 0.0000 0.0000
2 Mg 0.4644 0.9346 0.7874
3 Pa 0.6450 0.2778 0.3190
4 Pa 0.8356 0.6572 0.4683
5 Se 0.1272 0.2396 0.4799
6 Se 0.1286 0.2617 0.8332
7 Se 0.3356 0.6728 0.9541
8 Se 0.3536 0.6953 0.3074
9 Se 0.6006 0.1985 0.1088
10 Se 0.8645 0.7362 0.6785

size of the total moment = 0.00 μB/cell


## b
The following is a DFT calculation (PBE-GGA) of an optimized crystal structure of MgPaSe3.

Cell: 11.0823 11.0823 6.8834 Å, 90.00 90.00 157.92°
Fractional coordinates of all 10 atoms:
1 Mg 0.1130 0.8870 0.5000
2 Mg 0.8870 0.1130 0.0000
3 Pa 0.3317 0.6683 0.5881
4 Pa 0.6683 0.3317 0.0881
5 Se 0.1164 0.8836 0.8729
6 Se 0.2241 0.7759 0.3200
7 Se 0.4310 0.5690 0.8426
8 Se 0.5690 0.4310 0.3426
9 Se 0.7759 0.2241 0.8200
10 Se 0.8836 0.1164 0.3729

size of the total moment = 2.01 μB/cell


Which of them is the most stable, and which is the least stable? b and a, in that order.


## a
The following is a DFT calculation (PBE-GGA) of an optimized crystal structure of MgPa2Se6.

Cell: 6.5908 6.5908 12.3007 Å, 90.00 90.00 90.00°
Fractional coordinates of all 18 atoms:
1 Mg 0.0000 0.0000 0.0000
2 Mg 0.5000 0.5000 0.5000
3 Pa 0.0000 0.0000 0.3298
4 Pa 0.0000 0.0000 0.6702
5 Pa 0.5000 0.5000 0.1702
6 Pa 0.5000 0.5000 0.8298
7 Se 0.1945 0.1945 0.5000
8 Se 0.1996 0.1996 0.1632
9 Se 0.1996 0.1996 0.8368
10 Se 0.3004 0.6996 0.3368
11 Se 0.3004 0.6996 0.6632
12 Se 0.3055 0.6945 0.0000
13 Se 0.6945 0.3055 0.0000
14 Se 0.6996 0.3004 0.3368
15 Se 0.6996 0.3004 0.6632
16 Se 0.8004 0.8004 0.1632
17 Se 0.8004 0.8004 0.8368
18 Se 0.8055 0.8055 0.5000

size of the total moment = 0.67 μB/cell


## b
The following is a DFT calculation (PBE-GGA) of an optimized crystal structure of MgPa2Se6.

Cell: 6.8092 6.5606 13.7289 Å, 90.00 119.69 90.00°
Fractional coordinates of all 18 atoms:
1 Mg 0.0000 0.0000 0.0000
2 Mg 0.0000 0.5000 0.5000
3 Pa 0.3241 0.0007 0.8237
4 Pa 0.3241 0.4993 0.3237
5 Pa 0.6759 0.5007 0.6763
6 Pa 0.6759 0.9993 0.1763
7 Se 0.0080 0.7481 0.3372
8 Se 0.0080 0.7519 0.8372
9 Se 0.3327 0.7500 0.1621
10 Se 0.3327 0.7500 0.6621
11 Se 0.3384 0.2237 0.0003
12 Se 0.3384 0.2763 0.5003
13 Se 0.6616 0.7237 0.4997
14 Se 0.6616 0.7763 0.9997
15 Se 0.6673 0.2500 0.3379
16 Se 0.6673 0.2500 0.8379
17 Se 0.9920 0.2481 0.1628
18 Se 0.9920 0.2519 0.6628

size of the total moment = 0.00 μB/cell


Which of them is the most stable, and which is the least stable? b and a, in that order.


## a
The following is a DFT calculation (PBE-GGA) of an optimized crystal structure of Tb2MgPa.

Cell: 12.3948 12.3948 12.3948 Å, 15.01 15.01 15.01°
Fractional coordinates of all 4 atoms:
1 Tb 0.0878 0.0878 0.0878
2 Tb 0.9122 0.9122 0.9122
3 Mg 0.5000 0.5000 0.5000
4 Pa 0.0000 0.0000 0.0000

size of the total moment = 0.00 μB/cell


## b
The following is a DFT calculation (PBE-GGA) of an optimized crystal structure of Tb2MgPa.

Cell: 5.4002 5.4002 5.4002 Å, 60.00 60.00 60.00°
Fractional coordinates of all 4 atoms:
1 Tb 0.2500 0.2500 0.2500
2 Tb 0.7500 0.7500 0.7500
3 Mg 0.0000 0.0000 0.0000
4 Pa 0.5000 0.5000 0.5000

size of the total moment = 1.01 μB/cell


## c
The following is a DFT calculation (PBE-GGA) of an optimized crystal structure of Tb2MgPa.

Cell: 4.9007 4.9007 4.6020 Å, 90.00 90.00 90.00°
Fractional coordinates of all 4 atoms:
1 Tb 0.0000 0.5000 0.0000
2 Tb 0.5000 0.0000 0.0000
3 Mg 0.0000 0.0000 0.5000
4 Pa 0.5000 0.5000 0.5000

size of the total moment = 0.00 μB/cell


## d
The following is a DFT calculation (PBE-GGA) of an optimized crystal structure of Tb2MgPa.

Cell: 3.4111 3.4111 9.5671 Å, 90.00 90.00 90.00°
Fractional coordinates of all 4 atoms:
1 Tb 0.0000 0.0000 0.2503
2 Tb 0.0000 0.0000 0.7497
3 Mg 0.5000 0.5000 0.0000
4 Pa 0.5000 0.5000 0.5000

size of the total moment = 0.13 μB/cell


Which of them is the most stable, and which is the least stable? d and b, in that order.


## a
The following is a DFT calculation (PBE-GGA) of an optimized crystal structure of MgPa2Tc.

Cell: 4.4293 4.4293 4.3041 Å, 90.00 90.00 90.00°
Fractional coordinates of all 4 atoms:
1 Mg 0.0000 0.0000 0.0000
2 Pa 0.0000 0.5000 0.5000
3 Pa 0.5000 0.0000 0.5000
4 Tc 0.5000 0.5000 0.0000

size of the total moment = 0.00 μB/cell


## b
The following is a DFT calculation (PBE-GGA) of an optimized crystal structure of MgPa2Tc.

Cell: 3.1817 3.1817 9.0567 Å, 90.00 90.00 90.00°
Fractional coordinates of all 4 atoms:
1 Mg 0.0000 0.0000 0.0000
2 Pa 0.5000 0.5000 0.2941
3 Pa 0.5000 0.5000 0.7059
4 Tc 0.0000 0.0000 0.5000

size of the total moment = 0.00 μB/cell


Which of them is the most stable, and which is the least stable? b and a, in that order.


## a
The following is a DFT calculation (PBE-GGA) of an optimized crystal structure of ThMgPa.

Cell: 7.9493 6.5734 5.8565 Å, 79.28 54.34 46.38°
Fractional coordinates of all 6 atoms:
1 Th 0.1295 0.1295 0.8705
2 Th 0.8705 0.8705 0.1295
3 Mg 0.2500 0.2500 0.2500
4 Mg 0.7500 0.7500 0.7500
5 Pa 0.3234 0.6766 0.3234
6 Pa 0.6766 0.3234 0.6766

size of the total moment = 0.00 μB/cell


## b
The following is a DFT calculation (PBE-GGA) of an optimized crystal structure of ThMgPa.

Cell: 3.2720 3.2720 8.8300 Å, 90.00 90.00 120.00°
Fractional coordinates of all 3 atoms:
1 Th 0.0000 0.0000 0.0000
2 Mg 0.6667 0.3333 0.3378
3 Pa 0.3333 0.6667 0.6591

size of the total moment = 0.00 μB/cell


Which of them is the most stable, and which is the least stable? b and a, in that order.


## a
The following is a DFT calculation (PBE-GGA) of an optimized crystal structure of TmMgPa.

Cell: 7.9381 7.9381 7.9381 Å, 156.83 156.83 33.00°
Fractional coordinates of all 3 atoms:
1 Tm 0.0000 0.0000 0.0000
2 Mg 0.3321 0.3321 0.0000
3 Pa 0.6656 0.6656 0.0000

size of the total moment = 0.00 μB/cell


## b
The following is a DFT calculation (PBE-GGA) of an optimized crystal structure of TmMgPa.

Cell: 3.3366 3.3366 13.9229 Å, 90.00 90.00 90.00°
Fractional coordinates of all 6 atoms:
1 Tm 0.2500 0.2500 0.2457
2 Tm 0.7500 0.7500 0.7543
3 Mg 0.2500 0.2500 0.9270
4 Mg 0.7500 0.7500 0.0730
5 Pa 0.2500 0.2500 0.5821
6 Pa 0.7500 0.7500 0.4179

size of the total moment = 0.00 μB/cell


## c
The following is a DFT calculation (PBE-GGA) of an optimized crystal structure of TmMgPa.

Cell: 3.2518 3.2518 8.5732 Å, 90.00 90.00 120.00°
Fractional coordinates of all 3 atoms:
1 Tm 0.0000 0.0000 0.0000
2 Mg 0.3333 0.6667 0.6655
3 Pa 0.6667 0.3333 0.3315

size of the total moment = 0.00 μB/cell


Which of them is the most stable, and which is the least stable? b and a, in that order.